The following is a PBE-GGA calculation of HoErGeSe after structural relaxation, from the Alexandria database.

Output
- space group = R3m (160)
- formation energy without anion corrections (kJ/mol of formula units) = -528

Cell: 7.145 7.145 7.145 Å, 33.34 33.34 33.34°
Fractional positions:
1 Ho 0.000 0.000 0.000
2 Er 0.491 0.491 0.491
3 Ge 0.746 0.746 0.746
4 Se 0.245 0.245 0.245

***

The following is a PBE-GGA calculation of Rb2Li2SbSe4 after structural relaxation, from the Alexandria database.

Output
- space group = C2/m (12)
- formation energy without anion corrections (kJ/mol of formula units) = -775

Cell: 8.043 8.043 8.071 Å, 109.47 109.47 30.51°
Fractional positions:
1 Rb 0.140 0.140 0.055
2 Rb 0.860 0.860 0.945
3 Li 0.317 0.317 0.508
4 Li 0.683 0.683 0.492
5 Sb 0.000 0.000 0.500
6 Se 0.193 0.193 0.668
7 Se 0.482 0.482 0.727
8 Se 0.518 0.518 0.273
9 Se 0.807 0.807 0.332

***

The following is a PBE-GGA calculation of Ac12Nd3Er after structural relaxation, from the Alexandria database.

Output
- space group = P4/mmm (123)
- calculated formation energy (eV/atom) = 0.027

Cell: 5.524 5.524 22.056 Å, 90.00 90.00 90.00°
Fractional positions:
1 Ac 0.000 0.000 0.000
2 Ac 0.000 0.000 0.249
3 Ac 0.000 0.000 0.500
4 Ac 0.000 0.000 0.751
5 Ac 0.000 0.500 0.123
6 Ac 0.000 0.500 0.374
7 Ac 0.000 0.500 0.626
8 Ac 0.000 0.500 0.877
9 Ac 0.500 0.000 0.123
10 Ac 0.500 0.000 0.374
11 Ac 0.500 0.000 0.626
12 Ac 0.500 0.000 0.877
13 Nd 0.500 0.500 0.249
14 Nd 0.500 0.500 0.500
15 Nd 0.500 0.500 0.751
16 Er 0.500 0.500 0.000

***

The following is a PBE-GGA calculation of CrPd3S after structural relaxation, from the Alexandria database.

Output
- relative energy among the computed polymorphs (eV/atom) = 0.9563
- space group = Pm-3m (221)
- formation energy without anion corrections (kJ/mol of formula units) = 517

Cell: 4.568 4.568 4.568 Å, 90.00 90.00 90.00°
Fractional positions:
1 Cr 0.000 0.000 0.000
2 Pd 0.000 0.000 0.500
3 Pd 0.000 0.500 0.000
4 Pd 0.500 0.000 0.000
5 S 0.500 0.500 0.500

***

The following is a PBE-GGA calculation of Ca2AlZn after structural relaxation, from the Alexandria database.

Output
- space group = I-4m2 (119)
- calculated formation energy (eV/atom) = -0.037

Cell: 5.764 5.764 5.764 Å, 132.64 132.64 69.22°
Fractional positions:
1 Ca 0.000 0.000 0.000
2 Ca 0.750 0.250 0.500
3 Al 0.500 0.500 0.000
4 Zn 0.250 0.750 0.500

***

The following is a PBE-GGA calculation of Ti5Cr2H12 after structural relaxation, from the Alexandria database.

Output
- space group = C2/m (12)
- calculated total energy (eV per atom) = -5.47

Cell: 5.408 5.408 6.058 Å, 102.29 102.29 55.52°
Fractional positions:
1 Ti 0.000 0.000 0.000
2 Ti 0.291 0.291 0.665
3 Ti 0.330 0.330 0.137
4 Ti 0.670 0.670 0.863
5 Ti 0.709 0.709 0.335
6 Cr 0.229 0.771 0.500
7 Cr 0.771 0.229 0.500
8 H 0.063 0.063 0.337
9 H 0.079 0.595 0.910
10 H 0.120 0.522 0.402
11 H 0.405 0.921 0.090
12 H 0.478 0.880 0.598
13 H 0.485 0.485 0.682
14 H 0.515 0.515 0.318
15 H 0.522 0.120 0.402
16 H 0.595 0.079 0.910
17 H 0.880 0.478 0.598
18 H 0.921 0.405 0.090
19 H 0.937 0.937 0.663

***

The following is a PBE-GGA calculation of SrCdW after structural relaxation, from the Alexandria database.

Output
- relative energy among the computed polymorphs (eV/atom) = 0.6041
- space group = F-43m (216)
- calculated formation energy (eV/atom) = 1.408

Cell: 5.046 5.046 5.046 Å, 60.00 60.00 60.00°
Fractional positions:
1 Sr 0.000 0.000 0.000
2 Cd 0.750 0.750 0.750
3 W 0.500 0.500 0.500

***

The following is a PBE-GGA calculation of DyY4Al after structural relaxation, from the Alexandria database.

Output
- relative energy among the computed polymorphs (eV/atom) = 0.0000
- space group = P4/mmm (123)
- calculated formation energy (eV/atom) = -0.130

Cell: 3.551 3.551 14.038 Å, 90.00 90.00 90.00°
Fractional positions:
1 Dy 0.000 0.000 0.000
2 Y 0.000 0.000 0.365
3 Y 0.000 0.000 0.635
4 Y 0.500 0.500 0.179
5 Y 0.500 0.500 0.821
6 Al 0.500 0.500 0.500

***

The following is a PBE-GGA calculation of ReOsCl4 after structural relaxation, from the Alexandria database.

Output
- space group = F-43m (216)
- formation energy without anion corrections (kJ/mol of formula units) = 1217

Cell: 5.583 5.583 5.583 Å, 60.00 60.00 60.00°
Fractional positions:
1 Re 0.000 0.000 0.000
2 Os 0.250 0.250 0.250
3 Cl 0.125 0.625 0.625
4 Cl 0.625 0.125 0.625
5 Cl 0.625 0.625 0.125
6 Cl 0.625 0.625 0.625

***

The following is a PBE-GGA calculation of HfAlTe after structural relaxation, from the Alexandria database.

Output
- relative energy among the computed polymorphs (eV/atom) = 0.0273
- space group = I4/mmm (139)
- formation energy without anion corrections (kJ/mol of formula units) = -134

Cell: 9.057 9.057 9.057 Å, 155.15 155.15 35.44°
Fractional positions:
1 Hf 0.127 0.127 0.000
2 Hf 0.873 0.873 0.000
3 Al 0.000 0.500 0.500
4 Al 0.500 0.000 0.500
5 Te 0.311 0.311 0.000
6 Te 0.689 0.689 0.000

***

The following is a PBE-GGA calculation of Y2PRh after structural relaxation, from the Alexandria database.

Output
- space group = P4mm (99)
- calculated formation energy (eV/atom) = -0.477

Cell: 3.310 3.310 7.907 Å, 90.00 90.00 90.00°
Fractional positions:
1 Y 0.000 0.000 0.000
2 Y 0.500 0.500 0.371
3 P 0.000 0.000 0.624
4 Rh 0.500 0.500 0.740

***

The following is a PBE-GGA calculation of KCaTe4 after structural relaxation, from the Alexandria database.

Output
- space group = F-43m (216)
- formation energy without anion corrections (kJ/mol of formula units) = -185

Cell: 6.636 6.636 6.636 Å, 60.00 60.00 60.00°
Fractional positions:
1 K 0.000 0.000 0.000
2 Ca 0.250 0.250 0.250
3 Te 0.126 0.625 0.625
4 Te 0.625 0.126 0.625
5 Te 0.625 0.625 0.126
6 Te 0.625 0.625 0.625

***

The following is a PBE-GGA calculation of Pr2HoHg2 after structural relaxation, from the Alexandria database.

Output
- relative energy among the computed polymorphs (eV/atom) = 0.0000
- space group = P2_1/m (11)
- calculated formation energy (eV/atom) = -0.362

Cell: 3.787 5.376 14.362 Å, 90.00 97.54 90.00°
Fractional positions:
1 Pr 0.046 0.250 0.088
2 Pr 0.232 0.250 0.467
3 Pr 0.768 0.750 0.533
4 Pr 0.954 0.750 0.912
5 Ho 0.148 0.750 0.293
6 Ho 0.852 0.250 0.707
7 Hg 0.360 0.750 0.720
8 Hg 0.441 0.250 0.885
9 Hg 0.559 0.750 0.115
10 Hg 0.640 0.250 0.280

***

The following is a PBE-GGA calculation of YAg2HgSb after structural relaxation, from the Alexandria database.

Output
- space group = P4/mmm (123)
- formation energy without anion corrections (kJ/mol of formula units) = 153

Cell: 5.111 5.111 5.704 Å, 90.00 90.00 90.00°
Fractional positions:
1 Y 0.000 0.000 0.000
2 Ag 0.000 0.500 0.500
3 Ag 0.500 0.000 0.500
4 Hg 0.000 0.000 0.500
5 Sb 0.500 0.500 0.000

***

The following is a PBE-GGA calculation of Na2Cd2TeSe2 after structural relaxation, from the Alexandria database.

Output
- space group = C2/m (12)
- formation energy without anion corrections (kJ/mol of formula units) = -483

Cell: 7.891 7.891 7.227 Å, 111.56 111.56 32.14°
Fractional positions:
1 Na 0.114 0.114 0.369
2 Na 0.886 0.886 0.631
3 Cd 0.318 0.318 0.186
4 Cd 0.682 0.682 0.814
5 Te 0.500 0.500 0.500
6 Se 0.287 0.287 0.790
7 Se 0.713 0.713 0.210

***

The following is a PBE-GGA calculation of SmHoSc2In4 after structural relaxation, from the Alexandria database.

Output
- space group = R-3m (166)
- calculated formation energy (eV/atom) = -0.428

Cell: 9.027 9.027 9.027 Å, 33.49 33.49 33.49°
Fractional positions:
1 Sm 0.000 0.000 0.000
2 Ho 0.500 0.500 0.500
3 Sc 0.250 0.250 0.250
4 Sc 0.750 0.750 0.750
5 In 0.126 0.126 0.126
6 In 0.376 0.376 0.376
7 In 0.624 0.624 0.624
8 In 0.874 0.874 0.874

***

The following is a PBE-GGA calculation of LiIBrN2 after structural relaxation, from the Alexandria database.

Output
- relative energy among the computed polymorphs (eV/atom) = 0.1573
- space group = P4/mmm (123)
- formation energy without anion corrections (kJ/mol of formula units) = 777

Cell: 4.340 4.340 6.462 Å, 90.00 90.00 90.00°
Fractional positions:
1 Li 0.000 0.000 0.000
2 I 0.000 0.000 0.500
3 Br 0.500 0.500 0.500
4 N 0.000 0.500 0.000
5 N 0.500 0.000 0.000

***

| no. | total magnetic moment (Bohr magnetons per cell) |
| --- | --- |
| 1 | 0.0 |
| 2 | 0.0 |
| 3 | 0.0 |
| 4 | 0.0 |
| 5 | 0.0 |
| 6 | 0.0 |
| 7 | 3.5 |
| 8 | 0.0 |
| 9 | 1.2 |
| 10 | 0.0 |
| 11 | 0.0 |
| 12 | 0.0 |
| 13 | 0.7 |
| 14 | 0.0 |
| 15 | 0.0 |
| 16 | 0.0 |
| 17 | 5.1 |